(1)
Entry from Alexandria via LeMat-Bulk: a relaxed PmHoCCl crystal (PBE-GGA).

* crystal system: trigonal
* VASP energy: -6.167 eV per atom

Structure (CIF):
```
data_PmHoCCl
_symmetry_space_group_name_H-M 'P 1'
_symmetry_Int_Tables_number 1
_cell_length_a 3.667
_cell_length_b 3.667
_cell_length_c 7.322
_cell_angle_alpha 90.00
_cell_angle_beta 104.50
_cell_angle_gamma 120.00
loop_
_symmetry_equiv_pos_as_xyz
'x,y,z'
loop_
_atom_site_label
_atom_site_type_symbol
_atom_site_fract_x
_atom_site_fract_y
_atom_site_fract_z
C1 C 0.314 0.555 0.884
Cl1 Cl 0.959 0.377 0.351
Ho1 Ho 0.095 0.945 0.056
Pm1 Pm 0.510 0.153 0.678
```

(2)
Entry from Alexandria via LeMat-Bulk: a relaxed Ho2InTc crystal (PBE-GGA).

* ΔE to the lowest computed polymorph: 0.423 eV/atom
* crystal system: trigonal

Structure (CIF):
```
data_Ho2InTc
_symmetry_space_group_name_H-M 'P 1'
_symmetry_Int_Tables_number 1
_cell_length_a 3.433
_cell_length_b 3.433
_cell_length_c 10.692
_cell_angle_alpha 80.76
_cell_angle_beta 80.76
_cell_angle_gamma 60.00
loop_
_symmetry_equiv_pos_as_xyz
'x,y,z'
loop_
_atom_site_label
_atom_site_type_symbol
_atom_site_fract_x
_atom_site_fract_y
_atom_site_fract_z
In1 In 0.000 0.000 0.000
Tc1 Tc 0.500 0.500 0.500
Ho1 Ho 0.104 0.104 0.689
Ho2 Ho 0.896 0.896 0.311
```

Number 1: magnetization 0.00 μB/cell. Number 2: magnetization 0.00 μB/cell.